LiThScZn | GGA-PBE | optimized geometry

Lattice parameters (Å, degrees): 5.0284 5.0284 5.0284 60.00 60.00 60.00
Last column: nearest neighbours and their distance in Å.
Fractional coordinates of all 4 atoms:
Th 0.7500 0.7500 0.7500  4 Li 3.08, 4 Zn 3.08
Sc 0.2500 0.2500 0.2500  4 Li 3.08, 4 Zn 3.08
Li 0.5000 0.5000 0.5000  4 Th 3.08, 4 Sc 3.08
Zn 0.0000 0.0000 0.0000  4 Th 3.08, 4 Sc 3.08

calculated volume	22.48	Å³/atom
energy of formation	-0.25	kcal/mol of atoms

LiScTi3 | GGA-PBE | optimized geometry

Lattice parameters (Å, degrees): 4.5615 4.5615 4.5615 90.00 90.00 90.00
Last column: nearest neighbours and their distance in Å.
Fractional coordinates of all 5 atoms:
Ti 0.0000 0.0000 0.5000  2 Li 2.28
Ti 0.0000 0.5000 0.0000  2 Li 2.28
Ti 0.5000 0.0000 0.0000  2 Li 2.28
Li 0.0000 0.0000 0.0000  6 Ti 2.28
Sc 0.5000 0.5000 0.5000  12 Ti 3.23

polymorph energy (0 for the lowest one)	0.0	kJ per mole of atoms
calculated volume	18.98	Å³/atom
energy of formation	17.81	kcal/mol of atoms

LiScTi | GGA-PBE | optimized geometry

Lattice parameters (Å, degrees): 4.1355 4.1355 7.2036 90.00 90.00 90.00
Last column: nearest neighbours and their distance in Å.
Fractional coordinates of all 6 atoms:
Li 0.5000 0.0000 0.8018  5 Ti 2.64-2.93
Li 0.0000 0.5000 0.1982  5 Ti 2.64-2.93
Sc 0.0000 0.0000 0.5000  4 Sc 2.92, 4 Li 3.00, 4 Ti 3.16
Sc 0.5000 0.5000 0.5000  4 Sc 2.92, 4 Li 3.00, 4 Ti 3.16
Ti 0.0000 0.5000 0.8312  5 Li 2.64-2.93
Ti 0.5000 0.0000 0.1688  5 Li 2.64-2.93

polymorph energy (0 for the lowest one)	47.1	kJ per mole of atoms
calculated volume	20.53	Å³/atom
energy of formation	13.10	kcal/mol of atoms

LiScTi | GGA-PBE | optimized geometry

Lattice parameters (Å, degrees): 15.8083 7.9699 7.9699 157.44 159.24 20.76
Last column: nearest neighbours and their distance in Å.
Fractional coordinates of all 6 atoms:
Li 0.6948 0.8716 0.1284  1 Li 2.63, 2 Sc 2.87
Li 0.3052 0.1284 0.8716  1 Li 2.63, 2 Sc 2.87
Sc 0.8046 0.0889 0.9111  4 Li 2.87-2.99, 4 Ti 2.98-3.07, 2 Sc 3.12
Sc 0.1954 0.9111 0.0889  4 Li 2.87-2.99, 4 Ti 2.98-3.07, 2 Sc 3.12
Ti 0.7402 0.4894 0.5106  6 Ti 2.91-3.12, 2 Li 2.98, 4 Sc 2.98-3.07
Ti 0.2598 0.5106 0.4894  6 Ti 2.91-3.12, 2 Li 2.98, 4 Sc 2.98-3.07

polymorph energy (0 for the lowest one)	7.1	kJ per mole of atoms
calculated volume	19.35	Å³/atom
energy of formation	3.55	kcal/mol of atoms